K3Ca2PaSe6, optimized geometry, DFT PBE-GGA; V = 364.9 Å³/f.u.; uncorrected formation energy = -1632 meV per atom; DOS at the Fermi energy = 0.00 states/eV/f.u.
1.0
3.715 -6.434 0.000
3.715 6.434 0.000
-2.482 0.000 7.634
K Ca Pa Se
3 2 1 6
direct
0.000 0.000 0.000
0.329 0.671 0.000
0.671 0.329 0.000
0.166 0.834 0.500
0.834 0.166 0.500
0.500 0.500 0.500
0.117 0.432 0.295
0.255 0.255 0.706
0.432 0.117 0.295
0.568 0.883 0.705
0.745 0.745 0.294
0.883 0.568 0.705

BaAc2VN4, optimized geometry, DFT PBE-GGA; V = 155.4 Å³/f.u.; uncorrected formation energy = -992 meV per atom; DOS at the Fermi energy = 3.46 states/eV/f.u.
1.0
1.837 -6.557 0.000
1.837 6.557 0.000
0.000 0.000 12.898
Ba Ac V N
2 4 2 8
direct
0.093 0.907 0.750
0.907 0.093 0.250
0.369 0.631 0.542
0.369 0.631 0.958
0.631 0.369 0.042
0.631 0.369 0.458
0.184 0.816 0.250
0.816 0.184 0.750
0.000 0.000 0.000
0.000 0.000 0.500
0.263 0.737 0.137
0.263 0.737 0.363
0.383 0.617 0.750
0.617 0.383 0.250
0.737 0.263 0.637
0.737 0.263 0.863

KNbReO2, optimized geometry, DFT PBE-GGA; V = 84.0 Å³/f.u.; uncorrected formation energy = 197 meV per atom; DOS at the Fermi energy = 4.42 states/eV/f.u.
1.0
4.042 0.000 0.000
0.000 4.042 0.000
0.000 0.000 5.143
K Nb Re O
1 1 1 2
direct
0.000 0.000 0.000
0.500 0.500 0.000
0.500 0.500 0.500
0.000 0.500 0.500
0.500 0.000 0.500

AlP2W, optimized geometry, DFT PBE-GGA; V = 62.2 Å³/f.u.; calculated formation energy = -0.14 eV/atom; DOS at the Fermi energy = 1.22 states/eV/f.u.
1.0
4.446 0.000 0.000
0.000 1.642 4.259
0.000 -1.642 4.259
Al P W
1 2 1
direct
0.000 0.000 0.000
0.000 0.277 0.277
0.500 0.684 0.684
0.500 0.400 0.400